In3WO6 | PBE+U | optimized geometry

## Properties
The calculation puts the calculated total energy at -6.093 eV/atom. Its crystal system is trigonal. The calculation puts the density of states at the Fermi level at 0.10 states/eV per atom. Its space group is R-3.

a = 6.5143 Å, b = 6.5143 Å, c = 6.5143 Å
α = 91.60°, β = 91.60°, γ = 91.60°
Closest atoms and distances in Å follow each position.
Sites, in units of the cell vectors:
In  0.4439  0.9382  0.7504  6 O 2.17-2.29
In  0.9382  0.7504  0.4439  6 O 2.17-2.29
In  0.2496  0.5561  0.0618  6 O 2.17-2.29
In  0.7504  0.4439  0.9382  6 O 2.17-2.29
In  0.0618  0.2496  0.5561  6 O 2.17-2.29
In  0.5561  0.0618  0.2496  6 O 2.17-2.29
W  0.0000  0.0000  0.0000  6 O 2.19
W  0.5000  0.5000  0.5000  6 O 2.10
O  0.3124  0.9029  0.0685  3 In 2.17-2.28, 1 W 2.19
O  0.0971  0.9315  0.6876  3 In 2.17-2.28, 1 W 2.19
O  0.5943  0.8075  0.4692  1 W 2.10, 3 In 2.23-2.29
O  0.9315  0.6876  0.0971  3 In 2.17-2.28, 1 W 2.19
O  0.4692  0.5943  0.8075  1 W 2.10, 3 In 2.23-2.29
O  0.1925  0.5308  0.4057  1 W 2.10, 3 In 2.23-2.29
O  0.8075  0.4692  0.5943  1 W 2.10, 3 In 2.23-2.29
O  0.5308  0.4057  0.1925  1 W 2.10, 3 In 2.23-2.29
O  0.0685  0.3124  0.9029  3 In 2.17-2.28, 1 W 2.19
O  0.4057  0.1925  0.5308  1 W 2.10, 3 In 2.23-2.29
O  0.9029  0.0685  0.3124  3 In 2.17-2.28, 1 W 2.19
O  0.6876  0.0971  0.9315  3 In 2.17-2.28, 1 W 2.19